Record 1
A relaxed structure of KSiAsSe, computed with PBE-GGA. Values from VASP.

Output
Density ... 3.18 Mg/m³
VASP energy ... -15.82 eV/cell
Energy above the lowest structure with this stoichiometry ... 0.117 eV per atom
Magnetic moment ... 0.00 μB/f.u.
Volume ... 115.5 Å³ per cell
Energy relative to the elements, uncorrected ... -113 kJ/mol of formula units

Structure (Quantum ESPRESSO input):
```
&SYSTEM
  ibrav = 0, nat = 4, ntyp = 4
/
ATOMIC_SPECIES
As 74.92 As.upf
Si 28.09 Si.upf
K 39.10 K.upf
Se 78.96 Se.upf
ATOMIC_POSITIONS angstrom
As 2.544 1.554 3.027
Si 0.617 0.078 2.968
K 2.534 -1.653 5.543
Se -1.295 3.481 1.231
CELL_PARAMETERS angstrom
3.855 0.000 0.000
-1.909 4.938 0.000
-0.005 -2.233 6.067
```

Record 2
A relaxed structure of Na3PrU2Te6, computed with PBE-GGA. Values from VASP.

Output
Density ... 6.09 Mg/m³
VASP energy ... -61.56 eV/cell
Magnetic moment ... 6.01 μB/f.u.
Volume ... 395.6 Å³ per cell
Energy relative to the elements, uncorrected ... -1100 kJ/mol of formula units

Structure (Quantum ESPRESSO input):
```
&SYSTEM
  ibrav = 0, nat = 12, ntyp = 4
/
ATOMIC_SPECIES
Na 22.99 Na.upf
Pr 140.91 Pr.upf
U 238.03 U.upf
Te 127.60 Te.upf
ATOMIC_POSITIONS angstrom
Na -2.618 4.494 3.803
Na 5.201 -0.022 3.803
Na 1.291 2.236 3.803
Pr 0.000 0.000 0.000
U -0.003 4.477 -0.001
U 3.879 2.234 -0.001
Te 3.902 2.184 5.792
Te 2.554 4.422 1.811
Te -1.319 2.288 1.813
Te -0.059 4.471 5.792
Te 0.029 0.050 5.794
Te 2.641 0.001 1.813
CELL_PARAMETERS angstrom
7.750 -0.001 -0.001
-3.874 6.712 -0.001
-1.293 -2.239 7.606
```

Record 3
A relaxed structure of CsAs2PH6, computed with PBE-GGA. Values from VASP.

Output
Density ... 3.06 Mg/m³
VASP energy ... -67.45 eV/cell
Magnetic moment ... 0.00 μB/f.u.
Volume ... 346.7 Å³ per cell

Structure (Quantum ESPRESSO input):
```
&SYSTEM
  ibrav = 0, nat = 20, ntyp = 4
/
ATOMIC_SPECIES
Cs 132.91 Cs.upf
As 74.92 As.upf
P 30.97 P.upf
H 1.01 H.upf
ATOMIC_POSITIONS angstrom
Cs -0.755 -2.873 0.122
Cs 4.966 -2.142 1.051
As 5.099 -7.550 -2.307
As 5.744 -5.301 2.968
As 3.323 -2.480 4.653
As 2.678 -4.730 -0.622
P 1.628 -4.242 3.384
P 2.583 -0.773 -2.211
H 2.896 -3.364 -1.379
H 6.695 -8.256 0.146
H 5.527 -6.667 3.725
H 1.727 -1.775 2.200
H 4.211 -5.071 -0.733
H 8.124 -3.799 1.745
H 4.211 -4.959 3.079
H 0.299 -6.231 0.601
H 2.498 -5.519 -2.100
H 6.860 -4.381 -0.006
H 5.924 -4.512 4.446
H 1.562 -5.649 2.352
CELL_PARAMETERS angstrom
-1.511 -5.746 0.244
5.167 -1.546 -4.423
4.766 -2.739 6.525
```

Record 4
A relaxed structure of Al2TeSe, computed with PBE-GGA. Values from VASP.

Output
Density ... 5.07 Mg/m³
VASP energy ... -13.91 eV/cell
Energy above the lowest structure with this stoichiometry ... 0.401 eV per atom
Magnetic moment ... 0.00 μB/f.u.
Volume ... 85.3 Å³ per cell
Energy relative to the elements, uncorrected ... 20 kJ/mol of formula units

Structure (Quantum ESPRESSO input):
```
&SYSTEM
  ibrav = 0, nat = 4, ntyp = 3
/
ATOMIC_SPECIES
Te 127.60 Te.upf
Al 26.98 Al.upf
Se 78.96 Se.upf
ATOMIC_POSITIONS angstrom
Te 2.840 -1.224 5.201
Al 1.420 -0.612 2.601
Al 4.260 -1.837 7.802
Se 0.000 0.000 0.000
CELL_PARAMETERS angstrom
2.889 1.855 3.553
-0.608 -1.446 4.685
3.399 -2.859 2.164
```

Record 5
A relaxed structure of SbOs2Br, computed with PBE-GGA. Values from VASP.

Output
Density ... 12.06 Mg/m³
VASP energy ... -25.57 eV/cell
Energy above the lowest structure with this stoichiometry ... 0.246 eV per atom
Magnetic moment ... 0.00 μB/f.u.
Volume ... 80.2 Å³ per cell
Energy relative to the elements, uncorrected ... 259 kJ/mol of formula units

Structure (Quantum ESPRESSO input):
```
&SYSTEM
  ibrav = 0, nat = 4, ntyp = 3
/
ATOMIC_SPECIES
Sb 121.76 Sb.upf
Os 190.23 Os.upf
Br 79.90 Br.upf
ATOMIC_POSITIONS angstrom
Sb 15.369 2.326 1.364
Os 29.338 4.441 2.603
Os 7.670 1.161 0.681
Br 21.533 3.259 1.911
CELL_PARAMETERS angstrom
10.158 -0.001 0.000
9.703 3.007 0.000
9.703 1.469 2.624
```

Record 6
A relaxed structure of LiRuSe, computed with PBE-GGA. Values from VASP.

Output
Density ... 6.58 Mg/m³
VASP energy ... -15.21 eV/cell
Energy above the lowest structure with this stoichiometry ... 0.241 eV per atom
Magnetic moment ... 0.00 μB/f.u.
Volume ... 47.2 Å³ per cell
Energy relative to the elements, uncorrected ... -51 kJ/mol of formula units

Structure (Quantum ESPRESSO input):
```
&SYSTEM
  ibrav = 0, nat = 3, ntyp = 3
/
ATOMIC_SPECIES
Li 6.94 Li.upf
Ru 101.07 Ru.upf
Se 78.96 Se.upf
ATOMIC_POSITIONS angstrom
Li 0.000 0.000 0.001
Ru 2.067 1.193 1.594
Se 0.000 2.386 1.594
CELL_PARAMETERS angstrom
4.133 0.000 0.000
-2.067 3.580 0.000
0.000 0.000 3.189
```

Record 7
A relaxed structure of SrSc3Co, computed with PBE-GGA. Values from VASP.

Output
Density ... 3.64 Mg/m³
VASP energy ... -27.95 eV/cell
Magnetic moment ... 0.00 μB/f.u.
Volume ... 128.5 Å³ per cell
Formation energy from the elements ... -0.03 eV per atom

Structure (Quantum ESPRESSO input):
```
&SYSTEM
  ibrav = 0, nat = 5, ntyp = 3
/
ATOMIC_SPECIES
Sc 44.96 Sc.upf
Sr 87.62 Sr.upf
Co 58.93 Co.upf
ATOMIC_POSITIONS angstrom
Sc -0.109 -2.301 1.031
Sc 2.493 0.054 0.385
Sc -0.373 1.035 2.271
Sr 2.011 -1.212 3.686
Co 0.000 0.000 0.000
CELL_PARAMETERS angstrom
-0.746 2.070 4.542
-0.219 -4.601 2.061
4.986 0.108 0.770
```

Record 8
A relaxed structure of Tb4CdPt, computed with PBE-GGA. Values from VASP.

Output
Density ... 9.64 Mg/m³
VASP energy ... -116.47 eV/cell
Energy above the lowest structure with this stoichiometry ... 0.000 eV per atom
Magnetic moment ... 0.00 μB/f.u.
Volume ... 650.1 Å³ per cell
Formation energy from the elements ... -0.61 eV per atom

Structure (Quantum ESPRESSO input):
```
&SYSTEM
  ibrav = 0, nat = 24, ntyp = 3
/
ATOMIC_SPECIES
Tb 158.93 Tb.upf
Cd 112.41 Cd.upf
Pt 195.08 Pt.upf
ATOMIC_POSITIONS angstrom
Tb -8.150 -0.912 1.746
Tb -13.006 1.866 3.097
Tb -11.945 -3.330 5.334
Tb -13.202 -2.806 -0.259
Tb -9.694 -2.474 -1.150
Tb -13.457 -0.118 6.109
Tb -8.381 -3.022 4.696
Tb -14.771 0.430 0.263
Tb -9.489 2.410 2.358
Tb -13.662 -5.002 2.601
Tb -16.235 -2.650 1.543
Tb -18.492 -1.237 5.896
Tb -15.447 -2.979 5.049
Tb -19.279 -0.908 2.390
Tb -16.112 0.279 3.647
Tb -18.615 -4.166 3.792
Cd -13.471 -1.508 2.886
Cd -10.784 -3.045 2.138
Cd -11.371 -0.170 0.900
Cd -10.676 -0.460 3.995
Pt -3.317 -0.371 0.710
Pt -6.819 1.633 1.685
Pt -6.054 -2.115 3.298
Pt -6.961 -1.737 -0.735
CELL_PARAMETERS angstrom
-8.535 -3.200 -3.386
-6.412 -4.085 6.062
-8.204 4.693 2.283
```